Entry from OQMD via LeMat-Bulk: a relaxed structure of PrNd2Co2B2O3 (GGA+U).

Density   7.910 g cm⁻³
Raw total energy   -136.04 eV/cell

Lattice parameters (Å, degrees): 3.5903 3.5903 20.0927 90.00 90.00 90.00
Last column: nearest neighbours and their distance in Å.
Space group I4/mmm (No. 139)
Symmetry-distinct sites (fractional):
1 Pr 0.0000 0.0000 0.0000 x2  6 O 2.45-2.54
2 Nd 0.0000 0.0000 0.3648 x4  5 O 2.55-2.72
3 Co 0.0000 0.5000 0.2500 x4  4 B 2.05
4 B 0.0000 0.0000 0.2012 x4  1 O 1.60
5 O 0.0000 0.0000 0.1218 x4  1 B 1.60
6 O 0.0000 0.0000 0.5000 x2  4 Pr 2.54, 2 Nd 2.72